Material: Tm2FeSi
Method: DFT, PBE
State: relaxed

As for the space group: R-3m (166). The value obtained for the density of states at the Fermi level is 2.9 states/eV/f.u. As for the raw total energy: -5.3006 eV per atom. The calculation puts the magnetization at 1.9 μB/f.u.

a b c (Å): 3.294 3.294 28.295
angles (deg): 90.00 90.00 120.00
Atoms (fractional coordinates):
Tm1 0.000 0.000 0.092
Tm2 0.000 0.000 0.908
Tm3 0.333 0.667 0.575
Tm4 0.333 0.667 0.758
Tm5 0.667 0.333 0.242
Tm6 0.667 0.333 0.425
Fe1 0.000 0.000 0.000
Fe2 0.333 0.667 0.667
Fe3 0.667 0.333 0.333
Si1 0.000 0.000 0.500
Si2 0.333 0.667 0.167
Si3 0.667 0.333 0.833


Material: TmFe12Si6
Method: DFT, PBE
State: relaxed

As for the space group: R-3m (166). The value obtained for the density of states at the Fermi level is 19.5 states/eV/f.u. As for the raw total energy: -7.5221 eV per atom. The calculation puts the magnetization at 20.4 μB/f.u.

a b c (Å): 6.551 6.551 6.551
angles (deg): 104.88 104.88 104.88
Atoms (fractional coordinates):
Tm1 0.000 0.000 0.000
Fe1 0.121 0.500 0.879
Fe2 0.121 0.879 0.500
Fe3 0.164 0.429 0.429
Fe4 0.429 0.164 0.429
Fe5 0.429 0.429 0.164
Fe6 0.500 0.121 0.879
Fe7 0.500 0.879 0.121
Fe8 0.571 0.571 0.836
Fe9 0.571 0.836 0.571
Fe10 0.836 0.571 0.571
Fe11 0.879 0.121 0.500
Fe12 0.879 0.500 0.121
Si1 0.249 0.249 0.712
Si2 0.249 0.712 0.249
Si3 0.288 0.751 0.751
Si4 0.712 0.249 0.249
Si5 0.751 0.288 0.751
Si6 0.751 0.751 0.288


Material: TmFe5Si3
Method: DFT, PBE
State: relaxed

As for the space group: Cmcm (63). The value obtained for the density of states at the Fermi level is 7.9 states/eV/f.u. As for the raw total energy: -7.4171 eV per atom. The calculation puts the magnetization at 4.2 μB/f.u.

a b c (Å): 6.393 6.393 10.369
angles (deg): 90.00 90.00 144.72
Atoms (fractional coordinates):
Tm1 0.204 0.796 0.750
Tm2 0.796 0.204 0.250
Fe1 0.000 0.000 0.000
Fe2 0.000 0.000 0.500
Fe3 0.187 0.813 0.056
Fe4 0.187 0.813 0.444
Fe5 0.462 0.538 0.640
Fe6 0.462 0.538 0.860
Fe7 0.538 0.462 0.140
Fe8 0.538 0.462 0.360
Fe9 0.813 0.187 0.556
Fe10 0.813 0.187 0.944
Si1 0.095 0.905 0.250
Si2 0.368 0.632 0.051
Si3 0.368 0.632 0.449
Si4 0.632 0.368 0.551
Si5 0.632 0.368 0.949
Si6 0.905 0.095 0.750


Material: Tm2FeSi2
Method: DFT, PBE
State: relaxed

As for the space group: C2/m (12). The value obtained for the density of states at the Fermi level is 3.1 states/eV/f.u. As for the raw total energy: -6.3808 eV per atom. The calculation puts the magnetization at 0.0 μB/f.u.

a b c (Å): 5.551 5.551 9.819
angles (deg): 116.80 116.80 43.43
Atoms (fractional coordinates):
Tm1 0.001 0.001 0.172
Tm2 0.188 0.188 0.609
Tm3 0.812 0.812 0.391
Tm4 0.999 0.999 0.828
Fe1 0.271 0.271 0.125
Fe2 0.729 0.729 0.875
Si1 0.348 0.348 0.937
Si2 0.498 0.498 0.627
Si3 0.502 0.502 0.373
Si4 0.652 0.652 0.063


Material: TmFeSi2W
Method: DFT, PBE
State: relaxed

As for the space group: I-4m2 (119). The value obtained for the density of states at the Fermi level is 3.0 states/eV/f.u. As for the raw total energy: -7.7902 eV per atom. The calculation puts the magnetization at 2.3 μB/f.u.

a b c (Å): 3.908 3.908 10.762
angles (deg): 90.00 90.00 90.00
Atoms (fractional coordinates):
Tm1 0.000 0.000 0.000
Tm2 0.500 0.500 0.500
Fe1 0.000 0.500 0.250
Fe2 0.500 0.000 0.750
Si1 0.000 0.000 0.389
Si2 0.000 0.000 0.611
Si3 0.500 0.500 0.111
Si4 0.500 0.500 0.889
W1 0.000 0.500 0.750
W2 0.500 0.000 0.250


Material: UFeSi
Method: DFT, PBE
State: relaxed

As for the space group: P-6m2 (187). The value obtained for the density of states at the Fermi level is 3.6 states/eV/f.u. As for the raw total energy: -8.7545 eV per atom. The calculation puts the magnetization at 0.3 μB/f.u.

a b c (Å): 4.145 4.145 3.265
angles (deg): 90.00 90.00 120.00
Atoms (fractional coordinates):
U1 0.000 0.000 0.000
Fe1 0.667 0.333 0.500
Si1 0.333 0.667 0.500


> Which of these has the lowest density of states at the Fermi level?

Tm2FeSi


> Number 3 is which compound?

TmFe5Si3


> Which value of raw total energy does entry 3 give?

-7.4171 eV per atom


> density of states at the Fermi level of number 4 (Tm2FeSi2)?

3.1 states/eV/f.u.